5
Lattice="-0.7928 0.0998 4.7781 -4.2495 -2.2309 -0.6585 2.2825 -4.4873 0.4724" Properties=species:S:1:pos:R:3 comment="As2PSeCl GGA-PBE relaxed" e_above_lowest_polymorph_mev_per_atom=737.6 e_form_raw_ev_per_atom=1.365 energy_ev_per_fu=-13.2 pbc="T T T"
As -2.1247 -1.1154 -0.3292
As -0.3964 0.0499 2.3890
P -1.3799 -3.3092 2.2960
Cl 0.0000 0.0000 0.0000
Se 1.1412 -2.2436 0.2362

5
Lattice="-1.8173 -2.9992 2.9787 4.6864 -2.7963 0.0436 1.5023 2.5724 3.5066" Properties=species:S:1:pos:R:3 comment="AsPSeCl2 GGA-PBE relaxed" e_above_lowest_polymorph_mev_per_atom=0.0 e_form_raw_ev_per_atom=0.337 energy_ev_per_fu=-15.6 pbc="T T T"
As 2.1857 -1.6115 3.2645
P 0.0000 0.0000 0.0000
Cl -0.9087 -1.4996 1.4894
Cl 0.7511 1.2862 1.7533
Se 2.3432 -1.3981 0.0218

5
Lattice="-0.4974 -4.1133 -2.5587 0.1075 -2.5809 4.1281 -4.6638 0.3516 0.3413" Properties=species:S:1:pos:R:3 comment="AsP2SeCl GGA-PBE relaxed" e_above_lowest_polymorph_mev_per_atom=0.0 e_form_raw_ev_per_atom=0.837 energy_ev_per_fu=-16.6 pbc="T T T"
As 0.0000 0.0000 0.0000
P 0.0537 -1.2904 2.0641
P -0.2487 -2.0567 -1.2793
Cl -2.3319 0.1758 0.1706
Se -2.5268 -3.1713 0.9554

5
Lattice="-3.5440 2.6748 1.9971 0.9738 -1.9576 4.3499 3.1604 3.5297 0.8810" Properties=species:S:1:pos:R:3 comment="As2PSeCl GGA-PBE relaxed" e_above_lowest_polymorph_mev_per_atom=0.0 e_form_raw_ev_per_atom=0.627 energy_ev_per_fu=-16.9 pbc="T T T"
Se 1.5802 1.7648 0.4405
As 0.4869 -0.9788 2.1750
As -1.7720 1.3374 0.9985
Cl 0.2951 2.1234 3.6140
P 0.0000 0.0000 0.0000

12
Lattice="-1.7678 2.3124 -2.9686 -5.0364 -6.3574 -1.9528 -3.8463 3.3091 7.7794" Properties=species:S:1:pos:R:3 comment="Sm6As3P2Cl GGA-PBE relaxed" e_form_raw_ev_per_atom=-1.581 energy_ev_per_fu=-73.9 pbc="T T T"
Sm -2.9963 2.1025 0.5107
Sm -1.3786 -1.6687 -0.4789
Sm -5.2519 0.2796 3.3453
Sm -9.2719 0.9328 3.3368
Sm -5.3986 -1.0155 -0.4874
Sm -7.6541 -2.8383 2.3472
As -4.9005 3.1210 2.4380
As -3.4021 -2.0225 -2.4607
As -5.7500 -3.8568 0.4199
Cl -0.8839 1.1562 -1.4843
P -3.2381 -0.6221 1.4437
P -7.4124 -0.1138 1.4142

12
Lattice="-1.3170 -2.5781 2.9394 -5.1914 -3.5502 -5.4398 8.2774 -3.5355 -2.2875" Properties=species:S:1:pos:R:3 comment="Sm6AsP2Cl3 GGA-PBE relaxed" e_form_raw_ev_per_atom=-1.563 energy_ev_per_fu=-68.1 pbc="T T T"
Sm 2.8483 -8.7092 -3.4670
Sm -1.0794 -0.9545 -1.3208
Sm 2.6828 -4.6891 -2.9106
Sm 1.2480 -3.2425 0.6107
Sm -0.9139 -4.9746 -1.8772
Sm 0.5209 -6.4213 -5.3985
Cl -3.2542 -3.0641 -1.2502
Cl 3.5677 -5.1048 0.0167
Cl -1.7988 -4.5590 -4.8045
P 0.9501 -6.8545 -2.6908
P 0.8187 -2.8092 -2.0970
As -0.6585 -1.2890 1.4697

5
Lattice="-3.3100 1.6779 -2.8437 0.5120 -3.7171 -2.7891 -3.1645 -2.2178 2.3748" Properties=species:S:1:pos:R:3 comment="TaAsP2Cl GGA-PBE relaxed" e_above_lowest_polymorph_mev_per_atom=774.6 e_form_raw_ev_per_atom=1.167 energy_ev_per_fu=-23.3 pbc="T T T"
P -1.6550 0.8389 -1.4219
P 0.2560 -1.8585 -1.3946
Ta -2.9812 -2.1285 -1.6291
As 0.0000 0.0000 0.0000
Cl -1.5822 -1.1089 1.1874

32
Lattice="-7.7430 -0.6184 -6.0664 1.5095 -8.0596 5.4682 -7.1912 4.5649 8.7133" Properties=species:S:1:pos:R:3 comment="TaAsPCl13 GGA-PBE relaxed" e_form_raw_ev_per_atom=-0.941 energy_ev_per_fu=-61.0 pbc="T T T"
Ta -12.9308 2.3366 5.1261
Ta -4.0746 -4.1767 7.3276
Cl -2.1717 -5.5661 7.6547
Cl -8.1635 0.8218 7.6422
Cl -6.9748 -3.8472 2.5493
Cl -3.6810 -4.0859 1.9084
Cl -5.0069 -1.1075 2.7382
Cl -12.5143 0.0012 4.6824
Cl -2.2867 -0.3087 -0.2361
Cl -5.3640 -2.6561 -1.2952
Cl -13.1698 2.6697 2.7829
Cl -8.5163 -0.8064 4.7195
Cl -3.3676 -2.7282 9.0336
Cl -6.6615 -6.3991 -0.6559
Cl -5.9339 -2.8070 6.8334
Cl -6.0753 0.0587 -3.1811
Cl -5.3268 -5.4557 8.8456
Cl -8.0345 -2.6688 -3.3691
Cl -6.0306 -3.0600 11.5105
Cl -10.1314 -1.9178 7.4533
Cl -4.7462 -5.6369 5.5273
Cl -9.6980 0.2369 1.8983
Cl -9.1705 0.0745 -1.2429
Cl -2.7937 -2.9188 5.7147
Cl -4.4247 0.8016 5.9376
Cl -1.4025 -5.8254 3.4008
Cl -10.5618 2.7193 4.8698
Cl -8.7995 -5.2889 5.5178
P -10.3371 0.8169 0.1440
P 0.0156 -6.8999 4.2111
As -9.7860 -0.0079 6.3663
As -5.0388 -3.2165 3.4453

5
Lattice="-1.7798 -4.5210 -0.7251 2.7838 -1.6861 3.6797 -3.4374 0.8720 3.0001" Properties=species:S:1:pos:R:3 comment="TaAsP2Cl GGA-PBE relaxed" e_above_lowest_polymorph_mev_per_atom=0.0 e_form_raw_ev_per_atom=0.392 energy_ev_per_fu=-27.2 pbc="T T T"
As -1.2167 -2.6676 2.9773
P 1.3919 -0.8431 1.8399
P -0.8899 -2.2605 -0.3626
Cl -1.7187 0.4360 1.5000
Ta 0.0000 0.0000 0.0000

12
Lattice="4.0816 0.0000 0.0000 0.0000 8.1756 0.3252 -2.0408 -2.3206 8.5737" Properties=species:S:1:pos:R:3 comment="Tb6As3P2Cl GGA-PBE relaxed" e_form_raw_ev_per_atom=-1.585 energy_ev_per_fu=-73.4 pbc="T T T"
As 2.0408 -0.2240 5.8440
As 2.0408 4.0878 0.1626
As 0.0000 6.0790 3.0550
Tb 0.0000 1.9069 5.8122
Tb 0.0000 5.8848 5.8896
Tb 2.0408 3.9481 3.0867
Tb 2.0408 3.6816 8.7461
Tb 0.0000 2.1734 0.1528
Tb 2.0408 -0.0298 3.0093
Cl 2.0408 0.0000 0.0000
P 2.0408 3.9187 5.9425
P 0.0000 1.9363 2.9564

5
Lattice="4.7722 0.0000 0.0000 0.0000 4.7722 0.0000 0.0000 0.0000 4.7530" Properties=species:S:1:pos:R:3 comment="TcAsP2Cl GGA-PBE relaxed" e_above_lowest_polymorph_mev_per_atom=628.5 e_form_raw_ev_per_atom=1.212 energy_ev_per_fu=-21.6 pbc="T T T"
P 0.0000 2.3861 0.0000
P 2.3861 0.0000 0.0000
Cl 0.0000 0.0000 2.3765
As 0.0000 0.0000 0.0000
Tc 2.3861 2.3861 2.3765

5
Lattice="-1.3879 -4.3640 -0.0202 1.3740 -0.4571 4.3445 -4.4512 1.4084 1.5559" Properties=species:S:1:pos:R:3 comment="TcAsP2Cl GGA-PBE relaxed" e_above_lowest_polymorph_mev_per_atom=0.0 e_form_raw_ev_per_atom=0.584 energy_ev_per_fu=-24.8 pbc="T T T"
As -2.2325 -1.7063 2.9401
Tc 0.0000 0.0000 0.0000
Cl -2.2256 0.7042 0.7779
P 0.6870 -0.2285 2.1722
P -0.6939 -2.1820 -0.0101

| no. | M_tot (μB/f.u.) |
| --- | --- |
| 1 | 0.0 |
| 2 | 1.6 |
| 3 | 0.0 |
| 4 | 0.0 |
| 5 | 0.0 |
| 6 | 0.0 |
| 7 | 0.0 |
| 8 | 0.0 |
| 9 | 0.2 |
| 10 | 0.0 |
| 11 | 4.0 |
| 12 | 0.9 |